1.
Entry from Alexandria: crystalline NaMgTc3 at its relaxed geometry (PBE).

As for the energy of formation from the pure elements: 10.46 eV/f.u. For the raw total energy, the calculation gives -23.56 eV per cell. The total moment comes out at 5.34 μB/f.u. The calculation puts the polymorph energy (0 for the lowest one) at 0 meV/atom.

The space group is Pm-3m (No. 221) and the conventional cell measures 4.717, 4.717 and 4.717 Å, with angles of 90.00, 90.00 and 90.00 degrees. The asymmetric unit holds Na at (0.000, 0.000, 0.000), Mg at (0.500, 0.500, 0.500) and Tc at (0.000, 0.500, 0.500).

---

2.
Entry from Alexandria: crystalline TcWSeBr2 at its relaxed geometry (PBE).

For the raw total energy, the calculation gives -24.55 eV per cell. The total moment comes out at 6.72 μB/f.u. The calculation puts the polymorph energy (0 for the lowest one) at 0 meV/atom. The value obtained for the formation energy from raw total energies is 540 kJ/mol of formula units.

The space group is P4/mmm (No. 123) and the conventional cell measures 5.237, 5.237 and 4.885 Å, with angles of 90.00, 90.00 and 90.00 degrees. The asymmetric unit holds Tc at (0.000, 0.000, 0.000), W at (0.500, 0.500, 0.500), Se at (0.500, 0.500, 0.000) and Br at (0.000, 0.500, 0.500).

---

3.
Entry from Alexandria: crystalline Ca2InTe at its relaxed geometry (PBE).

For the raw total energy, the calculation gives -25.94 eV per cell. The total moment comes out at 0.00 μB/f.u. The calculation puts the polymorph energy (0 for the lowest one) at 77 meV/atom. The value obtained for the formation energy from raw total energies is -298 kJ/mol of formula units.

The space group is Cmmm (No. 65) and the conventional cell measures 6.996, 8.723 and 3.870 Å, with angles of 90.00, 90.00 and 90.00 degrees. The asymmetric unit holds Ca at (0.250, 0.250, 0.000), In at (0.000, 0.000, 0.500) and Te at (0.000, 0.500, 0.500).

---

4.
Entry from Alexandria: crystalline MgZrNiPt at its relaxed geometry (PBE).

As for the energy of formation from the pure elements: -2.71 eV/f.u. For the raw total energy, the calculation gives -98.70 eV per cell. The total moment comes out at 0.00 μB/f.u.

The space group is F-43m (No. 216) and the conventional cell measures 6.429, 6.429 and 6.429 Å, with angles of 90.00, 90.00 and 90.00 degrees. The asymmetric unit holds Mg at (0.000, 0.000, 0.000), Zr at (0.000, 0.000, 0.500), Ni at (0.250, 0.250, 0.250) and Pt at (0.250, 0.250, 0.750).

---

5.
Entry from Alexandria: crystalline Sc4AlRu5 at its relaxed geometry (PBE).

As for the energy of formation from the pure elements: -5.45 eV/f.u. For the raw total energy, the calculation gives -80.90 eV per cell. The total moment comes out at 0.00 μB/f.u.

The space group is P4/mmm (No. 123) and the conventional cell measures 3.186, 3.186 and 15.737 Å, with angles of 90.00, 90.00 and 90.00 degrees. The asymmetric unit holds Sc at (0.000, 0.000, 0.103), Sc at (0.000, 0.000, 0.307), Al at (0.000, 0.000, 0.500), Ru at (0.500, 0.500, 0.000), Ru at (0.500, 0.500, 0.205) and Ru at (0.500, 0.500, 0.412).

---

6.
Entry from Alexandria: crystalline Cd2SiAg at its relaxed geometry (PBE).

For the raw total energy, the calculation gives -18.37 eV per cell. The total moment comes out at 0.00 μB/f.u. The value obtained for the formation energy from raw total energies is 89 kJ/mol of formula units.

The space group is Cmmm (No. 65) and the conventional cell measures 5.962, 8.829 and 2.974 Å, with angles of 90.00, 90.00 and 90.00 degrees. The asymmetric unit holds Cd at (0.250, 0.250, 0.000), Si at (0.000, 0.000, 0.500) and Ag at (0.000, 0.500, 0.500).

---

7.
Entry from Alexandria: crystalline Er5Si2Au2 at its relaxed geometry (PBE).

For the raw total energy, the calculation gives -188.85 eV per cell. The total moment comes out at 0.00 μB/f.u. The value obtained for the formation energy from raw total energies is -675 kJ/mol of formula units.

The space group is Cmce (No. 64) and the conventional cell measures 15.349, 7.427 and 7.411 Å, with angles of 90.00, 90.00 and 90.00 degrees. The asymmetric unit holds Er at (0.000, 0.000, 0.000), Er at (0.134, 0.178, 0.328), Si at (0.000, 0.120, 0.621) and Au at (0.208, 0.000, 0.000).

---

8.
Entry from Alexandria: crystalline SrAl4Cl at its relaxed geometry (PBE).

For the raw total energy, the calculation gives -76.65 eV per cell. The total moment comes out at 0.00 μB/f.u. The value obtained for the formation energy from raw total energies is -64 kJ/mol of formula units.

The space group is F-43m (No. 216) and the conventional cell measures 8.197, 8.197 and 8.197 Å, with angles of 90.00, 90.00 and 90.00 degrees. The asymmetric unit holds Sr at (0.000, 0.000, 0.000), Al at (0.126, 0.126, 0.626) and Cl at (0.250, 0.250, 0.250).